The following is a DFT calculation (GGA+U) of a relaxed KYbMo2O8 crystal.

Calculated values
* M_tot: 2.2 Bohr magnetons per cell
* ρ: 5.316 g cm⁻³
* uncorrected energy: -6.673 eV per atom

Cell: 7.5423 7.5423 7.7965 Å, 118.51 118.51 87.61°
Element x y z (fractional)
K (0.1990, 0.8010, 0.7500)
K (0.8010, 0.1990, 0.2500)
Yb (0.2286, 0.7714, 0.2500)
Yb (0.7714, 0.2286, 0.7500)
Mo (0.3002, 0.3072, 0.7600)
Mo (0.3072, 0.3002, 0.2600)
Mo (0.6928, 0.6998, 0.7400)
Mo (0.6998, 0.6928, 0.2400)
O (0.0470, 0.2115, 0.6935)
O (0.0685, 0.3777, 0.1225)
O (0.2115, 0.0470, 0.1935)
O (0.2269, 0.3892, 0.5600)
O (0.3700, 0.5855, 0.0332)
O (0.3777, 0.0685, 0.6225)
O (0.3892, 0.2269, 0.0600)
O (0.4145, 0.6300, 0.4668)
O (0.5855, 0.3700, 0.5332)
O (0.6108, 0.7731, 0.9400)
O (0.6223, 0.9315, 0.3775)
O (0.6300, 0.4145, 0.9668)
O (0.7731, 0.6108, 0.4400)
O (0.7885, 0.9530, 0.8065)
O (0.9315, 0.6223, 0.8775)
O (0.9530, 0.7885, 0.3065)